(1)
ZrReB3 | PBE | relaxed

Properties
total magnetic moment: 0.000 μB per cell
energy above the lowest structure with this stoichiometry: 1.035 eV per atom
ΔE_f: 2.05 eV/f.u.

Cell lengths 4.0490, 4.0490, 4.0490 Å; angles 90.00, 90.00, 90.00 degrees
Space group Pm-3m (No. 221)
Asymmetric unit:
Zr1 0.0000 0.0000 0.0000
Re1 0.5000 0.5000 0.5000
B1 0.0000 0.5000 0.5000

(2)
ZrReB2 | PBE | relaxed

Properties
total magnetic moment: 0.000 μB per cell
energy above the lowest structure with this stoichiometry: 0.789 eV per atom
ΔE_f: 1.70 eV/f.u.

Cell lengths 4.8246, 4.8246, 10.8531 Å; angles 90.00, 90.00, 90.00 degrees
Space group I-42d (No. 122)
Asymmetric unit:
Zr1 0.0000 0.0000 0.0000
Re1 0.0000 0.0000 0.5000
B1 0.1844 0.2500 0.6250

(3)
ZrReB3 | PBE | relaxed

Properties
total magnetic moment: 1.065 μB per cell
energy above the lowest structure with this stoichiometry: 2.866 eV per atom
ΔE_f: 11.21 eV/f.u.

Cell lengths 4.1059, 4.1059, 4.1059 Å; angles 90.00, 90.00, 90.00 degrees
Space group Pm-3m (No. 221)
Asymmetric unit:
Zr1 0.0000 0.0000 0.0000
Re1 0.5000 0.5000 0.5000
B1 0.0000 0.0000 0.5000

(4)
ZrReB2 | PBE | relaxed

Properties
total magnetic moment: 0.000 μB per cell
energy above the lowest structure with this stoichiometry: 0.000 eV per atom
ΔE_f: -1.45 eV/f.u.

Cell lengths 3.2551, 3.2551, 16.1083 Å; angles 90.00, 90.00, 120.00 degrees
Space group R-3m (No. 166, hexagonal axes)
Asymmetric unit:
Zr1 0.0000 0.0000 0.0000
Re1 0.0000 0.0000 0.5000
B1 0.0000 0.0000 0.2407

(5)
ZrReB2 | PBE | relaxed

Properties
total magnetic moment: 0.000 μB per cell
energy above the lowest structure with this stoichiometry: 0.485 eV per atom
ΔE_f: 0.49 eV/f.u.

Cell lengths 5.7519, 5.7519, 5.7519 Å; angles 90.00, 90.00, 90.00 degrees
Space group Fm-3m (No. 225)
Asymmetric unit:
Zr1 0.0000 0.0000 0.0000
Re1 0.0000 0.0000 0.5000
B1 0.2500 0.2500 0.2500

(6)
ZrReB | PBE | relaxed

Properties
total magnetic moment: 0.000 μB per cell
ΔE_f: -0.97 eV/f.u.

Cell lengths 8.9664, 4.8095, 4.2790 Å; angles 90.00, 109.18, 90.00 degrees
Space group C2/m (No. 12)
Asymmetric unit:
Zr1 0.1274 0.0000 0.3619
Re1 0.1530 0.5000 0.9648
B1 0.0759 0.5000 0.4109

(7)
Zr2ReB | PBE | relaxed

Properties
total magnetic moment: 0.000 μB per cell
ΔE_f: 0.71 eV/f.u.

Cell lengths 8.6246, 8.6246, 4.1083 Å; angles 90.00, 90.00, 90.00 degrees
Space group I-42d (No. 122)
Asymmetric unit:
Zr1 0.1066 0.2500 0.1250
Re1 0.0000 0.0000 0.5000
B1 0.0000 0.0000 0.0000

(8)
ZrReB3 | PBE | relaxed

Properties
total magnetic moment: 0.000 μB per cell
energy above the lowest structure with this stoichiometry: 0.000 eV per atom
ΔE_f: -3.12 eV/f.u.

Cell lengths 3.5756, 18.7651, 3.0626 Å; angles 90.00, 90.00, 90.00 degrees
Space group Cmcm (No. 63)
Asymmetric unit:
Zr1 0.0000 0.0734 0.2500
Re1 0.0000 0.2044 0.7500
B1 0.0000 0.3238 0.7500
B2 0.0000 0.3749 0.2500
B3 0.0000 0.4759 0.2500